A plane-wave DFT calculation with GGA+U was carried out for a relaxed structure of CrGaO3.

a = 5.266 Å, b = 6.532 Å, c = 6.532 Å
α = 85.59°, β = 83.12°, γ = 83.12°
Site moments in Bohr magnetons follow the coordinates.
Fractional positions:
Ga (0.803, 0.217, 0.406)  0.02
Cr (0.250, 0.910, 0.090)  3.00
O (0.881, 0.021, 0.199)  -0.05
O (0.619, 0.801, 0.979)  -0.05
O (0.606, 0.135, 0.643)  -0.03
Cr (0.750, 0.090, 0.910)  3.00
O (0.894, 0.357, 0.865)  -0.03
O (0.126, 0.284, 0.451)  -0.01
Ga (0.303, 0.406, 0.217)  0.02
O (0.874, 0.716, 0.549)  -0.01
O (0.106, 0.643, 0.135)  -0.03
O (0.626, 0.451, 0.284)  -0.01
Ga (0.197, 0.783, 0.594)  0.02
O (0.394, 0.865, 0.357)  -0.03
Ga (0.697, 0.594, 0.783)  0.02
Cr (0.250, 0.266, 0.734)  2.98
Cr (0.750, 0.734, 0.266)  2.98
O (0.119, 0.979, 0.801)  -0.05
O (0.374, 0.549, 0.716)  -0.01
O (0.381, 0.199, 0.021)  -0.05

## Properties
Calculated density   5.10 Mg/m³
VASP energy   -7.00 eV/atom
Symmetry   C2/c